Here is a relaxed structure of TlWCl from the Alexandria database. Energies are from PBE.

* density of states at the Fermi level: 2.039 states/eV per cell
* total DFT energy (no corrections): -5.21 eV/atom
* ΔE to the lowest computed polymorph: 127 meV/atom
* SG: Fmm2
* raw formation energy: 515 meV/atom

Unit cell a=9.014 b=8.736 c=3.073 alpha=85.18 beta=74.96 gamma=19.86
Fractional positions:
Cl (0.039, 0.039, 0.961)
Tl (0.311, 0.311, 0.689)
W (0.650, 0.650, 0.350)

=====

Here is a relaxed structure of VCSe2Br from the Alexandria database. Energies are from PBE.

* density of states at the Fermi level: 3.865 states/eV per cell
* total DFT energy (no corrections): -4.17 eV/atom
* ΔE to the lowest computed polymorph: 0 meV/atom
* SG: P4/mmm
* raw formation energy: 1224 meV/atom

Unit cell a=4.762 b=4.762 c=5.153 alpha=90.00 beta=90.00 gamma=90.00
Fractional positions:
C (0.500, 0.500, 0.500)
Se (0.000, 0.500, 0.000)
Se (0.500, 0.000, 0.000)
Br (0.000, 0.000, 0.500)
V (0.000, 0.000, 0.000)

=====

Here is a relaxed structure of YSbTe2F from the Alexandria database. Energies are from PBE.

* density of states at the Fermi level: 6.067 states/eV per cell
* total DFT energy (no corrections): -3.89 eV/atom
* ΔE to the lowest computed polymorph: 526 meV/atom
* SG: P4/mmm
* raw formation energy: -139 meV/atom

Unit cell a=5.729 b=5.729 c=5.904 alpha=90.00 beta=90.00 gamma=90.00
Fractional positions:
Y (0.000, 0.000, 0.000)
Sb (0.000, 0.000, 0.500)
Te (0.000, 0.500, 0.000)
Te (0.500, 0.000, 0.000)
F (0.500, 0.500, 0.500)

=====

Here is a relaxed structure of PtPbW2 from the Alexandria database. Energies are from PBE.

* density of states at the Fermi level: 3.264 states/eV per cell
* total DFT energy (no corrections): -8.29 eV/atom
* SG: I-4m2
* formation enthalpy at 0 K: 623 meV/atom

Unit cell a=5.048 b=5.048 c=5.048 alpha=131.65 beta=131.65 gamma=70.79
Fractional positions:
Pb (0.500, 0.500, 0.000)
Pt (0.750, 0.250, 0.500)
W (0.000, 0.000, 0.000)
W (0.250, 0.750, 0.500)

=====

Here is a relaxed structure of ScInRu2Rh from the Alexandria database. Energies are from PBE.

* density of states at the Fermi level: 6.573 states/eV per cell
* total DFT energy (no corrections): -5.30 eV/atom
* SG: P4/mmm
* formation enthalpy at 0 K: 1695 meV/atom

Unit cell a=4.787 b=5.091 c=4.787 alpha=90.00 beta=90.00 gamma=90.00
Fractional positions:
Sc (0.000, 0.500, 0.000)
Ru (0.000, 0.000, 0.500)
Ru (0.500, 0.000, 0.000)
Rh (0.500, 0.500, 0.500)
In (0.000, 0.000, 0.000)

=====

Here is a relaxed structure of LiSeBr from the Alexandria database. Energies are from PBE.

* density of states at the Fermi level: 2.524 states/eV per cell
* total DFT energy (no corrections): -2.67 eV/atom
* ΔE to the lowest computed polymorph: 209 meV/atom
* SG: F-43m
* raw formation energy: -317 meV/atom

Unit cell a=4.581 b=4.581 c=4.581 alpha=60.00 beta=60.00 gamma=60.00
Fractional positions:
Br (0.500, 0.500, 0.500)
Li (0.250, 0.250, 0.250)
Se (0.000, 0.000, 0.000)